NaCuSb (GGA-PBE, optimized geometry); E = -3.345 eV/atom; SG = Imm2
1.0
-2.269 3.738 3.918
2.269 -3.738 3.918
2.269 3.738 -3.918
Na Cu Sb
2 2 2
direct
0.000 0.000 0.000 Na
0.567 0.067 0.500 Na
0.422 0.698 0.724 Cu
0.974 0.698 0.276 Cu
0.154 0.367 0.787 Sb
0.580 0.367 0.213 Sb